Computed, not measured: an optimized crystal structure of GaNi2 at the PBE level of DFT.

Computed properties:
D(E_F) = 2.76 states/eV/f.u.
Formation energy from the elements = -0.92 eV/f.u.

Lattice parameters (Å, degrees): 3.4527 11.0400 3.7279 90.00 90.00 90.00
Closest atoms and distances in Å follow each position.
Fractional coordinates of all 12 atoms:
Ni 0.0000 0.2517 0.2500  4 Ga 2.42-2.55, 8 Ni 2.54-2.63
Ni 0.0000 0.4192 0.7500  6 Ga 2.55-2.59, 6 Ni 2.56-2.63
Ni 0.5000 0.9192 0.7500  6 Ga 2.55-2.59, 6 Ni 2.56-2.63
Ni 0.5000 0.7517 0.2500  4 Ga 2.42-2.55, 8 Ni 2.54-2.63
Ni 0.0000 0.5808 0.2500  6 Ga 2.55-2.59, 6 Ni 2.56-2.63
Ni 0.5000 0.2483 0.7500  4 Ga 2.42-2.55, 8 Ni 2.54-2.63
Ni 0.0000 0.7483 0.7500  4 Ga 2.42-2.55, 8 Ni 2.54-2.63
Ni 0.5000 0.0808 0.2500  6 Ga 2.55-2.59, 6 Ni 2.56-2.63
Ga 0.5000 0.4055 0.2500  10 Ni 2.42-2.59
Ga 0.0000 0.0945 0.7500  10 Ni 2.42-2.59
Ga 0.5000 0.5945 0.7500  10 Ni 2.42-2.59
Ga 0.0000 0.9055 0.2500  10 Ni 2.42-2.59